Density functional theory data (PBE) for a geometry-optimized Cu2Pd2I structure.

## Properties
D(E_F): 6.97 states/eV per cell
formation energy (no corrections): 0.20 eV per atom
spin magnetization: 0.00 μB/atom
calculated total energy: -3.83 eV per atom

Cell and atoms, written as CIF:
```
data_Cu2Pd2I
_chemical_formula_sum 'Cu4 Pd4 I2'
_symmetry_space_group_name_H-M 'P 4/m b m'
_symmetry_Int_Tables_number 127
_symmetry_space_group_name_Hall '-P 4 2ab'
_cell_length_a 7.149
_cell_length_b 7.149
_cell_length_c 3.362
_cell_angle_alpha 90.00
_cell_angle_beta 90.00
_cell_angle_gamma 90.00
loop_
_atom_site_label
_atom_site_fract_x
_atom_site_fract_y
_atom_site_fract_z
Cu1 0.143 0.357 0.000
Pd1 0.146 0.646 0.500
I1 0.000 0.000 0.500
```

Density functional theory data (PBE) for a geometry-optimized CuPdI structure.

## Properties
D(E_F): 5.64 states/eV per cell
formation energy (no corrections): 0.12 eV per atom
spin magnetization: 0.00 μB/atom
calculated total energy: -3.49 eV per atom

Cell and atoms, written as CIF:
```
data_CuPdI
_chemical_formula_sum 'Cu2 Pd2 I2'
_symmetry_space_group_name_H-M 'P -1'
_symmetry_Int_Tables_number 2
_symmetry_space_group_name_Hall '-P 1'
_cell_length_a 4.108
_cell_length_b 4.111
_cell_length_c 10.291
_cell_angle_alpha 79.43
_cell_angle_beta 79.50
_cell_angle_gamma 60.21
loop_
_atom_site_label
_atom_site_fract_x
_atom_site_fract_y
_atom_site_fract_z
Cu1 0.109 0.108 0.194
Pd1 0.187 0.188 0.933
I1 0.267 0.269 0.671
```

Q: Which of these has the lowest D(E_F)?
A: CuPdI